No. 1
Entry from Alexandria: a relaxed SrLi3Hg crystal (PBE).

Cell lengths 4.533, 4.533, 7.195 Å; angles 108.28, 108.28, 89.99 degrees
Positions (direct):
Sr  0.000  0.000  0.000
Li  0.268  0.768  0.537
Li  0.619  0.619  0.238
Li  0.768  0.268  0.537
Hg  0.403  0.403  0.807

Calculated values
- polymorph energy (0 for the lowest one) (meV/atom) = 6.0
- symmetry = Cm (8)
- calculated formation energy (eV/atom) = -0.193
- V (A^3/atom) = 26.51

=====

No. 2
Entry from Alexandria: a relaxed CsAg2Sb2 crystal (PBE).

Cell lengths 6.402, 7.084, 8.342 Å; angles 65.20, 81.31, 68.86 degrees
Positions (direct):
Cs  0.250  0.099  0.299
Cs  0.750  0.901  0.701
Ag  0.250  0.513  0.472
Ag  0.251  0.794  0.918
Ag  0.749  0.206  0.082
Ag  0.750  0.487  0.528
Sb  0.079  0.256  0.801
Sb  0.420  0.446  0.802
Sb  0.580  0.554  0.198
Sb  0.921  0.744  0.199

Calculated values
- polymorph energy (0 for the lowest one) (meV/atom) = 6.9
- symmetry = P-1 (2)
- uncorrected formation energy (eV per atom) = -0.1566
- V (A^3/atom) = 32.04

=====

No. 3
Entry from Alexandria: a relaxed TbFe10Mo2 crystal (PBE).

Cell lengths 6.497, 6.497, 6.497 Å; angles 137.36, 97.96, 97.23 degrees
Positions (direct):
Tb  0.000  0.000  0.000
Fe  0.000  0.000  0.500
Fe  0.000  0.500  0.000
Fe  0.219  0.500  0.719
Fe  0.227  0.727  0.500
Fe  0.358  0.000  0.358
Fe  0.500  0.000  0.000
Fe  0.500  0.500  0.500
Fe  0.642  0.000  0.642
Fe  0.773  0.273  0.500
Fe  0.781  0.500  0.281
Mo  0.357  0.357  0.000
Mo  0.643  0.643  0.000

Calculated values
- symmetry = Immm (71)
- calculated formation energy (eV/atom) = -0.007
- V (A^3/atom) = 13.31

=====

No. 4
Entry from Alexandria: a relaxed LaSm3Tm12 crystal (PBE).

Cell lengths 4.992, 4.992, 20.004 Å; angles 90.00, 90.00, 90.00 degrees
Positions (direct):
La  0.000  0.000  0.000
Sm  0.000  0.000  0.251
Sm  0.000  0.000  0.500
Sm  0.000  0.000  0.749
Tm  0.000  0.500  0.127
Tm  0.000  0.500  0.376
Tm  0.000  0.500  0.624
Tm  0.000  0.500  0.873
Tm  0.500  0.000  0.127
Tm  0.500  0.000  0.376
Tm  0.500  0.000  0.624
Tm  0.500  0.000  0.873
Tm  0.500  0.500  0.000
Tm  0.500  0.500  0.252
Tm  0.500  0.500  0.500
Tm  0.500  0.500  0.748

Calculated values
- symmetry = P4/mmm (123)
- calculated formation energy (eV/atom) = 0.030
- V (A^3/atom) = 31.16

=====

> Which value of V does entry 2 give?

32.04 A^3/atom

=====

> Which value of V does entry 1 give?

26.51 A^3/atom